Compound: Ti2Co2Ni
Source: the Alexandria database
Functional: PBE
Structure: optimized geometry

Unit cell a=6.637 b=6.637 c=2.946 alpha=90.00 beta=90.00 gamma=90.00
Atoms (fractional coordinates):
1 Ni 0.500 0.500 0.000
2 Ni 0.000 0.000 0.000
3 Co 0.632 0.132 0.000
4 Co 0.132 0.368 0.000
5 Co 0.368 0.868 0.000
6 Co 0.868 0.632 0.000
7 Ti 0.328 0.172 0.500
8 Ti 0.672 0.828 0.500
9 Ti 0.828 0.328 0.500
10 Ti 0.172 0.672 0.500

Properties
ΔH_f (0 K): -273 meV/atom
Density of states at the Fermi level: 0.678 states/eV/atom
Energy above the lowest structure with this stoichiometry: 1.10 kcal/mol of atoms
Energy: -7.430 eV/atom
SG: P4/mbm, No. 127